(1)
## H8Pt2Se (PBE-GGA)

Data for crystalline H8Pt2Se at its relaxed geometry.

For the total energy, the calculation gives -80.9 eV per cell. For the volume, the calculation gives 237.3 Å³/cell.

a = 7.4474 Å, b = 5.0736 Å, c = 6.5706 Å
α = 90.00°, β = 107.10°, γ = 90.00°
Space group C2/m (No. 12)
Asymmetric unit:
H 0.0897 0.0000 0.4230 x4
H 0.1682 0.3120 0.1483 x8
H 0.1724 0.5000 0.4134 x4
Pt 0.1665 0.0000 0.6981 x4
Se 0.0000 0.0000 0.0000 x2

=====

(2)
## KTlAu2 (PBE-GGA)

Data for crystalline KTlAu2 at its relaxed geometry.

The energy above the most stable polymorph in this dataset is 0 meV/atom. For the volume, the calculation gives 241.0 Å³/cell.

a = 8.3628 Å, b = 4.8138 Å, c = 6.6038 Å
α = 90.00°, β = 114.96°, γ = 90.00°
Space group Cm (No. 8)
Asymmetric unit:
K 0.0000 0.0000 0.0000 x2
Tl 0.2002 0.0000 0.6026 x2
Au 0.2918 0.5000 0.3776 x2
Au 0.4598 0.0000 0.3804 x2

=====

(3)
## Np2Si4Ni3Pt (PBE-GGA)

Data for crystalline Np2Si4Ni3Pt at its relaxed geometry.

The value obtained for the uncorrected formation energy is -0.600 eV per atom. For the volume, the calculation gives 154.7 Å³/cell.

a = 3.9934 Å, b = 3.9934 Å, c = 9.7013 Å
α = 90.00°, β = 90.00°, γ = 90.00°
Space group P-4m2 (No. 115)
Asymmetric unit:
Np 0.0000 0.5000 0.2415 x2
Si 0.0000 0.0000 0.0000 x1
Si 0.0000 0.5000 0.6439 x2
Si 0.5000 0.5000 0.0000 x1
Ni 0.0000 0.5000 0.8800 x2
Ni 0.5000 0.5000 0.5000 x1
Pt 0.0000 0.0000 0.5000 x1

=====

(4)
## LaSmPd2 (PBE-GGA)

Data for crystalline LaSmPd2 at its relaxed geometry.

The energy above the most stable polymorph in this dataset is 0 meV/atom. For the volume, the calculation gives 198.5 Å³/cell.

a = 4.6478 Å, b = 3.9118 Å, c = 10.9155 Å
α = 90.00°, β = 90.00°, γ = 90.00°
Space group Amm2 (No. 38)
Asymmetric unit:
La 0.0000 0.0000 0.0000 x2
Sm 0.5000 0.0000 0.2718 x2
Pd 0.0000 0.0000 0.7250 x2
Pd 0.5000 0.0000 0.5510 x2

=====

(5)
## Ca2TaTe (PBE-GGA)

Data for crystalline Ca2TaTe at its relaxed geometry.

The value obtained for the uncorrected formation energy is 0.200 eV per atom. For the volume, the calculation gives 107.8 Å³/cell.

a = 5.1130 Å, b = 5.1130 Å, c = 4.1243 Å
α = 90.00°, β = 90.00°, γ = 90.00°
Space group P4/mmm (No. 123)
Asymmetric unit:
Ca 0.0000 0.5000 0.0000 x2
Ta 0.0000 0.0000 0.5000 x1
Te 0.5000 0.5000 0.5000 x1

=====

(6)
## NbRhW (PBE-GGA)

Data for crystalline NbRhW at its relaxed geometry.

The energy above the most stable polymorph in this dataset is 331 meV/atom. For the volume, the calculation gives 49.0 Å³/cell.

a = 4.5644 Å, b = 4.5644 Å, c = 2.7134 Å
α = 90.00°, β = 90.00°, γ = 120.00°
Space group P3m1 (No. 156)
Asymmetric unit:
Nb 0.0000 0.0000 0.0000 x1
Rh 0.6667 0.3333 0.1120 x1
W 0.3333 0.6667 0.6052 x1